[1]
4
Lattice="3.3175 0.0000 0.0000 0.0000 3.3175 0.0000 0.0000 0.0000 7.2084" Properties=species:S:1:pos:R:3 comment="PBE Sc2CdRe, relaxed" vol_a3_per_cell=79 e_tot_ev_per_atom=-6.71 spacegroup="P4/mmm (123)" pbc="T T T"
Sc 0.0000 0.0000 1.5311
Sc 0.0000 0.0000 5.6773
Cd 1.6587 1.6587 3.6042
Re 1.6587 1.6587 0.0000

[2]
4
Lattice="3.6246 0.0000 0.0000 0.0000 3.6246 0.0000 0.0000 0.0000 6.0795" Properties=species:S:1:pos:R:3 comment="PBE Sc2CdRe, relaxed" vol_a3_per_cell=80 e_tot_ev_per_atom=-6.35 spacegroup="P4mm (99)" pbc="T T T"
Sc 0.0000 0.0000 0.0000
Sc 1.8123 1.8123 1.7632
Cd 0.0000 0.0000 3.2899
Re 1.8123 1.8123 5.0206

[3]
4
Lattice="2.9169 0.0000 0.0000 0.0000 4.2806 0.0000 0.0000 0.0000 6.1174" Properties=species:S:1:pos:R:3 comment="PBE ScCd2Re, relaxed" vol_a3_per_cell=76 polymorph_energy_ev_per_atom=0.052 e_tot_ev_per_atom=-4.94 spacegroup="Pmm2 (25)" pbc="T T T"
Sc 0.0000 0.0000 0.0000
Cd 0.0000 0.0000 3.2396
Cd 1.4584 2.1403 1.7191
Re 1.4584 2.1403 4.8347